Record 1
Compound: PmFeAs3
Source: OQMD via LeMat-Bulk
Functional: PBE
Structure: optimized geometry

```
PmFeAs3
1.0
4.719 0.000 0.000
0.000 4.725 0.000
0.000 0.000 4.728
As Fe Pm
3 1 1
Direct
0.000 0.500 0.000
0.000 0.000 0.500
0.500 0.500 0.500
0.000 0.500 0.500
0.500 0.000 0.000
```

Summary:
Crystal system: cubic
Spin magnetization (μB per atom): 0.537
Total energy (eV per cell): -28.22
Calculated volume (A^3/atom): 21.09

Record 2
Compound: FeReAsPt
Source: OQMD via LeMat-Bulk
Functional: PBE
Structure: optimized geometry

```
FeReAsPt
1.0
0.000 3.110 3.110
3.110 0.000 3.110
3.110 3.110 0.000
As Fe Pt Re
1 1 1 1
Direct
0.000 0.000 0.000
0.750 0.750 0.750
0.250 0.250 0.250
0.500 0.500 0.500
```

Summary:
Crystal system: cubic
Spin magnetization (μB per atom): 0.870
Polymorph energy (0 for the lowest one) (meV per atom): 326.9
Calculated volume (A^3/atom): 15.04

Record 3
Compound: FeReAsPt
Source: OQMD via LeMat-Bulk
Functional: PBE
Structure: optimized geometry

```
FeReAsPt
1.0
0.000 3.073 3.073
3.073 0.000 3.073
3.073 3.073 0.000
As Fe Pt Re
1 1 1 1
Direct
0.000 0.000 0.000
0.750 0.750 0.750
0.500 0.500 0.500
0.250 0.250 0.250
```

Summary:
Crystal system: cubic
Spin magnetization (μB per atom): 0.589
Polymorph energy (0 for the lowest one) (meV per atom): 0.0
Calculated volume (A^3/atom): 14.51

Record 4
Compound: ScFeAsPt
Source: OQMD via LeMat-Bulk
Functional: PBE
Structure: optimized geometry

```
ScFeAsPt
1.0
0.000 3.190 3.190
3.190 0.000 3.190
3.190 3.190 0.000
As Fe Pt Sc
1 1 1 1
Direct
0.000 0.000 0.000
0.750 0.750 0.750
0.500 0.500 0.500
0.250 0.250 0.250
```

Summary:
Crystal system: cubic
Spin magnetization (μB per atom): 0.714
Polymorph energy (0 for the lowest one) (meV per atom): 0.0
Calculated volume (A^3/atom): 16.23

Record 5
Compound: ScFeAsPt
Source: OQMD via LeMat-Bulk
Functional: PBE
Structure: optimized geometry

```
ScFeAsPt
1.0
-0.848 -3.931 -1.921
-4.105 -0.922 -1.471
-0.802 -0.214 -4.379
As Fe Pt Sc
1 1 1 1
Direct
0.000 0.000 0.000
0.750 0.750 0.750
0.250 0.250 0.250
0.500 0.500 0.500
```

Summary:
Crystal system: cubic
Spin magnetization (μB per atom): 0.477
Polymorph energy (0 for the lowest one) (meV per atom): 55.9
Calculated volume (A^3/atom): 15.65

Record 6
Compound: FeAsPtW
Source: OQMD via LeMat-Bulk
Functional: PBE
Structure: optimized geometry

```
FeAsPtW
1.0
0.000 3.137 3.137
3.137 0.000 3.137
3.137 3.137 0.000
As Fe Pt W
1 1 1 1
Direct
0.000 0.000 0.000
0.750 0.750 0.750
0.250 0.250 0.250
0.500 0.500 0.500
```

Summary:
Crystal system: cubic
Spin magnetization (μB per atom): 0.294
Polymorph energy (0 for the lowest one) (meV per atom): 298.4
Calculated volume (A^3/atom): 15.44

Record 7
Compound: FeAsPtW
Source: OQMD via LeMat-Bulk
Functional: PBE
Structure: optimized geometry

```
FeAsPtW
1.0
-1.511 -4.054 -0.666
0.724 -3.123 2.981
-3.312 -1.526 2.420
As Fe Pt W
1 1 1 1
Direct
0.000 0.000 0.000
0.750 0.750 0.750
0.500 0.500 0.500
0.250 0.250 0.250
```

Summary:
Crystal system: cubic
Spin magnetization (μB per atom): 0.475
Polymorph energy (0 for the lowest one) (meV per atom): 0.0
Calculated volume (A^3/atom): 14.82

Record 8
Compound: YFeAsPt
Source: OQMD via LeMat-Bulk
Functional: PBE
Structure: optimized geometry

```
YFeAsPt
1.0
0.000 3.275 3.275
3.275 0.000 3.275
3.275 3.275 0.000
As Fe Pt Y
1 1 1 1
Direct
0.000 0.000 0.000
0.750 0.750 0.750
0.500 0.500 0.500
0.250 0.250 0.250
```

Summary:
Crystal system: cubic
Spin magnetization (μB per atom): 0.734
Polymorph energy (0 for the lowest one) (meV per atom): 0.0
Calculated volume (A^3/atom): 17.56

Record 9
Compound: YFeAsPt
Source: OQMD via LeMat-Bulk
Functional: PBE
Structure: optimized geometry

```
YFeAsPt
1.0
0.000 3.279 3.279
3.279 0.000 3.279
3.279 3.279 0.000
As Fe Pt Y
1 1 1 1
Direct
0.000 0.000 0.000
0.750 0.750 0.750
0.250 0.250 0.250
0.500 0.500 0.500
```

Summary:
Crystal system: cubic
Spin magnetization (μB per atom): 0.524
Polymorph energy (0 for the lowest one) (meV per atom): 114.7
Calculated volume (A^3/atom): 17.62

Record 10
Compound: ZnFeAsPt
Source: OQMD via LeMat-Bulk
Functional: PBE
Structure: optimized geometry

```
ZnFeAsPt
1.0
0.000 3.068 3.068
3.068 0.000 3.068
3.068 3.068 0.000
As Fe Pt Zn
1 1 1 1
Direct
0.000 0.000 0.000
0.750 0.750 0.750
0.250 0.250 0.250
0.500 0.500 0.500
```

Summary:
Crystal system: cubic
Spin magnetization (μB per atom): 0.534
Polymorph energy (0 for the lowest one) (meV per atom): 0.0
Calculated volume (A^3/atom): 14.44

Record 11
Compound: ZnFeAsPt
Source: OQMD via LeMat-Bulk
Functional: PBE
Structure: optimized geometry

```
ZnFeAsPt
1.0
-0.624 -4.313 -0.494
-3.961 -1.739 0.721
-2.382 -1.500 -3.364
As Fe Pt Zn
1 1 1 1
Direct
0.000 0.000 0.000
0.750 0.750 0.750
0.500 0.500 0.500
0.250 0.250 0.250
```

Summary:
Crystal system: cubic
Spin magnetization (μB per atom): 0.635
Polymorph energy (0 for the lowest one) (meV per atom): 67.5
Calculated volume (A^3/atom): 14.91

Record 12
Compound: ZrFeAsPt
Source: OQMD via LeMat-Bulk
Functional: PBE
Structure: optimized geometry

```
ZrFeAsPt
1.0
1.260 1.120 4.227
-1.316 3.972 1.789
-3.082 0.078 3.347
As Fe Pt Zr
1 1 1 1
Direct
0.000 0.000 0.000
0.750 0.750 0.750
0.500 0.500 0.500
0.250 0.250 0.250
```

Summary:
Crystal system: cubic
Spin magnetization (μB per atom): 0.645
Polymorph energy (0 for the lowest one) (meV per atom): 0.0
Calculated volume (A^3/atom): 16.66

Record 13
Compound: ZrFeAsPt
Source: OQMD via LeMat-Bulk
Functional: PBE
Structure: optimized geometry

```
ZrFeAsPt
1.0
0.000 3.209 3.209
3.209 0.000 3.209
3.209 3.209 0.000
As Fe Pt Zr
1 1 1 1
Direct
0.000 0.000 0.000
0.750 0.750 0.750
0.250 0.250 0.250
0.500 0.500 0.500
```

Summary:
Crystal system: cubic
Spin magnetization (μB per atom): 0.484
Polymorph energy (0 for the lowest one) (meV per atom): 119.0
Calculated volume (A^3/atom): 16.52

Record 14
Compound: ScFeReAs
Source: OQMD via LeMat-Bulk
Functional: PBE
Structure: optimized geometry

```
ScFeReAs
1.0
-1.486 -2.312 -3.355
-3.174 1.589 -2.493
0.859 1.268 -4.058
As Fe Re Sc
1 1 1 1
Direct
0.000 0.000 0.000
0.750 0.750 0.750
0.250 0.250 0.250
0.500 0.500 0.500
```

Summary:
Crystal system: cubic
Spin magnetization (μB per atom): 0.216
Polymorph energy (0 for the lowest one) (meV per atom): 0.0
Calculated volume (A^3/atom): 14.42

Record 15
Compound: TaFeReAs
Source: OQMD via LeMat-Bulk
Functional: PBE
Structure: optimized geometry

```
TaFeReAs
1.0
1.457 -3.380 -2.339
-0.385 -4.056 1.556
-2.830 -2.774 -1.820
As Fe Re Ta
1 1 1 1
Direct
0.000 0.000 0.000
0.750 0.750 0.750
0.250 0.250 0.250
0.500 0.500 0.500
```

Summary:
Crystal system: cubic
Spin magnetization (μB per atom): 0.202
Polymorph energy (0 for the lowest one) (meV per atom): 0.0
Calculated volume (A^3/atom): 14.66

Record 16
Compound: ZnFeReAs
Source: OQMD via LeMat-Bulk
Functional: PBE
Structure: optimized geometry

```
ZnFeReAs
1.0
0.000 3.056 3.056
3.056 0.000 3.056
3.056 3.056 0.000
As Fe Re Zn
1 1 1 1
Direct
0.000 0.000 0.000
0.750 0.750 0.750
0.500 0.500 0.500
0.250 0.250 0.250
```

Summary:
Crystal system: cubic
Spin magnetization (μB per atom): 0.541
Polymorph energy (0 for the lowest one) (meV per atom): 281.3
Calculated volume (A^3/atom): 14.27

Record 17
Compound: ZnFeReAs
Source: OQMD via LeMat-Bulk
Functional: PBE
Structure: optimized geometry

```
ZnFeReAs
1.0
0.771 -1.296 3.961
-2.834 -2.409 2.031
0.850 -4.081 0.767
As Fe Re Zn
1 1 1 1
Direct
0.000 0.000 0.000
0.750 0.750 0.750
0.250 0.250 0.250
0.500 0.500 0.500
```

Summary:
Crystal system: cubic
Spin magnetization (μB per atom): 0.332
Polymorph energy (0 for the lowest one) (meV per atom): 0.0
Calculated volume (A^3/atom): 13.46

Record 18
Compound: ZrFeReAs
Source: OQMD via LeMat-Bulk
Functional: PBE
Structure: optimized geometry

```
ZrFeReAs
1.0
0.000 3.113 3.113
3.113 0.000 3.113
3.113 3.113 0.000
As Fe Re Zr
1 1 1 1
Direct
0.000 0.000 0.000
0.750 0.750 0.750
0.250 0.250 0.250
0.500 0.500 0.500
```

Summary:
Crystal system: cubic
Spin magnetization (μB per atom): 0.000
Polymorph energy (0 for the lowest one) (meV per atom): 0.0
Calculated volume (A^3/atom): 15.09

Record 19
Compound: ZrFeReAs
Source: OQMD via LeMat-Bulk
Functional: PBE
Structure: optimized geometry

```
ZrFeReAs
1.0
0.804 -4.343 0.935
-3.411 -2.956 0.100
-0.383 -3.116 -3.245
As Fe Re Zr
1 1 1 1
Direct
0.000 0.000 0.000
0.750 0.750 0.750
0.500 0.500 0.500
0.250 0.250 0.250
```

Summary:
Crystal system: cubic
Spin magnetization (μB per atom): 0.958
Polymorph energy (0 for the lowest one) (meV per atom): 220.0
Calculated volume (A^3/atom): 16.27

Record 20
Compound: Fe2As3S
Source: OQMD via LeMat-Bulk
Functional: PBE
Structure: optimized geometry

```
Fe2As3S
1.0
-1.019 -0.762 4.946
2.759 -1.137 0.393
2.057 5.370 1.101
As Fe S
3 2 1
Direct
0.315 0.500 0.139
0.818 0.000 0.360
0.186 0.000 0.637
0.509 0.500 0.509
0.984 0.000 0.990
0.688 0.500 0.864
```

Summary:
Crystal system: monoclinic
Spin magnetization (μB per atom): 0.166
Total energy (eV per cell): -36.56
Calculated volume (A^3/atom): 15.00

Record 21
Compound: FeAsS
Source: OQMD via LeMat-Bulk
Functional: PBE
Structure: optimized geometry

```
FeAsS
1.0
0.000 0.000 5.661
3.215 -4.770 0.000
3.210 4.750 0.000
As Fe S
4 4 4
Direct
0.369 0.372 0.146
0.131 0.872 0.146
0.631 0.628 0.854
0.869 0.128 0.854
0.992 0.297 0.288
0.508 0.797 0.288
0.492 0.203 0.712
0.008 0.703 0.712
0.633 0.177 0.348
0.867 0.677 0.348
0.133 0.323 0.652
0.367 0.823 0.652
```

Summary:
Crystal system: monoclinic
Spin magnetization (μB per atom): 0.000
Total energy (eV per cell): -73.80
Calculated volume (A^3/atom): 14.43

Record 22
Compound: Fe2AsS3
Source: OQMD via LeMat-Bulk
Functional: PBE
Structure: optimized geometry

```
Fe2AsS3
1.0
4.663 0.000 0.000
0.000 3.298 0.000
-0.214 0.000 5.550
As Fe S
1 2 3
Direct
0.805 0.000 0.365
0.489 0.500 0.508
0.008 0.000 0.993
0.294 0.500 0.131
0.196 0.000 0.633
0.709 0.500 0.871
```

Summary:
Crystal system: monoclinic
Spin magnetization (μB per atom): 0.144
Total energy (eV per cell): -36.19
Calculated volume (A^3/atom): 14.23

Record 23
Compound: FeAsS
Source: OQMD via LeMat-Bulk
Functional: PBE
Structure: optimized geometry

```
FeAsS
1.0
4.930 0.000 0.000
0.000 3.161 0.000
-0.419 0.000 5.707
As Fe S
2 2 2
Direct
0.806 0.000 0.359
0.194 0.000 0.641
0.000 0.000 0.000
0.500 0.500 0.500
0.288 0.500 0.142
0.712 0.500 0.858
```

Summary:
Crystal system: monoclinic
Spin magnetization (μB per atom): 0.148
Total energy (eV per cell): -36.10
Calculated volume (A^3/atom): 14.82

Record 24
Compound: Fe2SbAs3
Source: OQMD via LeMat-Bulk
Functional: PBE
Structure: optimized geometry

```
Fe2SbAs3
1.0
-0.947 4.507 -2.890
-2.815 -0.014 0.901
1.554 3.317 4.906
As Fe Sb
3 2 1
Direct
0.319 0.500 0.138
0.190 0.000 0.648
0.680 0.500 0.860
0.484 0.500 0.507
0.006 0.000 0.988
0.821 0.000 0.359
```

Summary:
Crystal system: monoclinic
Spin magnetization (μB per atom): 0.000
Total energy (eV per cell): -35.70
Calculated volume (A^3/atom): 16.40

Record 25
Compound: Fe2SbAs
Source: OQMD via LeMat-Bulk
Functional: PBE
Structure: optimized geometry

```
Fe2SbAs
1.0
6.262 0.000 0.000
0.000 6.262 0.000
0.000 0.000 6.262
As Fe Sb
4 8 4
Direct
0.500 0.500 0.000
0.500 0.000 0.500
0.000 0.500 0.500
0.500 0.500 0.500
0.274 0.274 0.274
0.726 0.274 0.274
0.274 0.726 0.274
0.726 0.726 0.274
0.274 0.274 0.726
0.726 0.274 0.726
0.274 0.726 0.726
0.726 0.726 0.726
0.000 0.000 0.000
0.500 0.000 0.000
0.000 0.500 0.000
0.000 0.000 0.500
```

Summary:
Crystal system: cubic
Spin magnetization (μB per atom): 0.943
Total energy (eV per cell): -97.66
Calculated volume (A^3/atom): 15.35

Record 26
Compound: Fe2SbAs
Source: OQMD via LeMat-Bulk
Functional: PBE
Structure: optimized geometry

```
Fe2SbAs
1.0
-2.190 5.166 2.776
-4.009 0.844 -4.733
-4.281 -3.433 3.013
As Fe Sb
4 8 4
Direct
0.000 0.000 0.000
0.500 0.000 0.000
0.000 0.500 0.000
0.000 0.000 0.500
0.225 0.225 0.225
0.775 0.225 0.225
0.225 0.775 0.225
0.775 0.775 0.225
0.225 0.225 0.775
0.775 0.225 0.775
0.225 0.775 0.775
0.775 0.775 0.775
0.500 0.500 0.000
0.500 0.000 0.500
0.000 0.500 0.500
0.500 0.500 0.500
```

Summary:
Crystal system: cubic
Spin magnetization (μB per atom): 0.938
Total energy (eV per cell): -97.66
Calculated volume (A^3/atom): 15.33

Record 27
Compound: Fe2SbAs3
Source: OQMD via LeMat-Bulk
Functional: PBE
Structure: optimized geometry

```
Fe2SbAs3
1.0
-0.058 5.287 1.272
-1.683 -0.588 2.367
5.039 -0.887 3.363
As Fe Sb
3 2 1
Direct
0.690 0.500 0.147
0.180 0.000 0.361
0.818 0.000 0.638
0.984 0.000 0.008
0.506 0.500 0.488
0.321 0.500 0.859
```

Summary:
Crystal system: monoclinic
Spin magnetization (μB per atom): 0.000
Total energy (eV per cell): -35.70
Calculated volume (A^3/atom): 16.44

Record 28
Compound: Fe2Sb3As
Source: OQMD via LeMat-Bulk
Functional: PBE
Structure: optimized geometry

```
Fe2Sb3As
1.0
-1.310 4.823 -2.756
-2.008 -1.560 -1.775
-4.611 1.054 4.292
As Fe Sb
1 2 3
Direct
0.692 0.500 0.854
0.507 0.500 0.513
0.982 0.000 0.992
0.318 0.500 0.139
0.810 0.000 0.353
0.191 0.000 0.649
```

Summary:
Crystal system: monoclinic
Spin magnetization (μB per atom): 0.000
Total energy (eV per cell): -33.97
Calculated volume (A^3/atom): 18.84